The following is a PBE calculation of a relaxed structure of La3PmY2As6, from the Alexandria database.

Cell and atoms, written as POSCAR:
```
La3PmY2As6
1.0
-4.051 3.963 4.755
4.886 -4.946 2.529
4.654 5.250 -2.329
La Pm Y As
3 1 2 6
Direct
0.166 0.834 0.500
0.834 0.166 0.500
0.500 0.500 0.500
0.000 0.000 0.000
0.333 0.667 0.000
0.667 0.333 0.000
0.920 0.583 0.760
0.743 0.743 0.239
0.080 0.417 0.240
0.583 0.920 0.760
0.257 0.257 0.761
0.417 0.080 0.240
```

Summary:
DFT formation energy: -35.8 kcal/mol of atoms
M_tot: 0.0 μB/cell
D(E_F): 1.211 states/eV/f.u.
raw total energy: -6.583 eV/atom


The following is a PBE calculation of a relaxed structure of Hf6Al2Fe, from the Alexandria database.

Cell and atoms, written as POSCAR:
```
Hf6Al2Fe
1.0
5.429 0.000 0.425
0.000 7.469 0.000
-0.127 0.000 8.878
Hf Al Fe
12 4 2
Direct
0.869 0.963 0.237
0.882 0.670 0.544
0.898 0.689 0.955
0.602 0.189 0.545
0.618 0.170 0.956
0.631 0.463 0.263
0.131 0.037 0.763
0.118 0.330 0.456
0.102 0.311 0.045
0.398 0.811 0.455
0.382 0.830 0.044
0.369 0.537 0.737
0.884 0.389 0.759
0.616 0.889 0.741
0.384 0.111 0.259
0.116 0.611 0.241
0.500 0.500 0.000
0.000 0.000 0.500
```

Summary:
DFT formation energy: -2.5 kcal/mol of atoms
M_tot: 0.0 μB/cell
D(E_F): 8.942 states/eV/f.u.
raw total energy: -8.516 eV/atom


The following is a PBE calculation of a relaxed structure of La2ZnAsP, from the Alexandria database.

Cell and atoms, written as POSCAR:
```
La2ZnAsP
1.0
-4.576 -0.639 -3.306
-2.918 -2.031 4.431
-1.256 3.935 0.977
P As Zn La
1 1 1 2
Direct
0.000 0.000 0.500
0.500 0.500 0.500
0.000 0.000 0.000
0.000 0.500 0.000
0.500 0.000 0.000
```

Summary:
DFT formation energy: -7.6 kcal/mol of atoms
M_tot: 0.0 μB/cell
D(E_F): 3.850 states/eV/f.u.
raw total energy: -4.568 eV/atom


The following is a PBE calculation of a relaxed structure of Ca2PrTl4, from the Alexandria database.

Cell and atoms, written as POSCAR:
```
Ca2PrTl4
1.0
6.275 -0.009 -2.214
-3.130 5.433 -2.227
-0.005 0.009 6.654
Pr Ca Tl
1 2 4
Direct
0.000 0.000 0.000
0.500 0.500 0.000
0.500 0.000 0.500
0.500 0.000 0.000
0.500 0.500 0.500
0.000 0.000 0.500
0.000 0.500 0.000
```

Summary:
DFT formation energy: -6.9 kcal/mol of atoms
M_tot: 0.0 μB/cell
D(E_F): 2.551 states/eV/f.u.
raw total energy: -2.906 eV/atom


The following is a PBE calculation of a relaxed structure of Tb8Tl2Tc, from the Alexandria database.

Cell and atoms, written as POSCAR:
```
Tb8Tl2Tc
1.0
-5.304 0.586 1.412
-1.870 -4.283 -5.248
4.138 -4.633 6.678
Tb Tl Tc
8 2 1
Direct
0.397 0.595 0.795
0.642 0.914 0.283
0.806 0.753 0.613
0.989 0.227 0.977
0.194 0.247 0.387
0.358 0.086 0.717
0.603 0.405 0.205
0.011 0.773 0.023
0.816 0.310 0.632
0.184 0.690 0.368
0.500 0.000 0.000
```

Summary:
DFT formation energy: -3.5 kcal/mol of atoms
M_tot: 0.0 μB/cell
D(E_F): 9.858 states/eV/f.u.
raw total energy: -4.892 eV/atom


The following is a PBE calculation of a relaxed structure of YTeSe2, from the Alexandria database.

Cell and atoms, written as POSCAR:
```
YTeSe2
1.0
5.018 0.000 0.000
0.000 5.018 0.000
0.000 0.000 3.800
Se Te Y
2 1 1
Direct
0.000 0.000 0.000
0.500 0.500 0.000
0.500 0.000 0.500
0.000 0.500 0.500
```

Summary:
M_tot: 0.0 μB/cell
formation energy without anion corrections: -0.70 eV per atom
D(E_F): 1.895 states/eV/f.u.
raw total energy: -4.845 eV/atom